# 1
The following is a DFT calculation (PBE) of crystalline Pu3Be2Pt4 at its relaxed geometry.

Lattice parameters (Å, degrees): 4.2231 5.6123 8.3301 110.30 90.00 112.10
Each line ends with the local moment (μB).
Element x y z (fractional)
Pu  0.6268  0.2537  0.6840  5.16
Pu  0.0000  0.0000  0.0000  5.18
Pu  0.3732  0.7463  0.3160  5.16
Be  0.6726  0.3451  0.3355  0.03
Be  0.3274  0.6549  0.6645  0.03
Pt  0.7122  0.4244  0.0825  -0.05
Pt  0.2878  0.5756  0.9175  -0.05
Pt  0.8887  0.7773  0.5882  -0.01
Pt  0.1113  0.2227  0.4118  -0.01

SG: C2/m (12)
DFT total energy, eV/atom: -8.9783
Crystal system: monoclinic
Mass density, Mg/m³: 14.982
Magnetization, μB/f.u.: 16.4


# 2
The following is a DFT calculation (PBE) of crystalline LaH2N at its relaxed geometry.

Lattice parameters (Å, degrees): 3.6680 3.6680 7.6956 76.21 76.21 90.00
Element x y z (fractional)
H  0.5434  0.1250  0.2500
H  0.2066  0.6250  0.2500
H  0.3750  0.4566  0.7500
H  0.8750  0.7934  0.7500
N  0.5000  0.5000  0.0000
N  0.2500  0.7500  0.5000
La  0.0000  0.0000  0.0000
La  0.7500  0.2500  0.5000

SG: I-42d (122)
DFT total energy, eV/atom: -4.8111
Crystal system: tetragonal
Mass density, Mg/m³: 5.278
Magnetization, μB/f.u.: 0.0


# 3
The following is a DFT calculation (PBE) of crystalline Pu3GaCu8 at its relaxed geometry.

Lattice parameters (Å, degrees): 5.1535 5.1535 8.9131 73.20 73.20 60.00
Each line ends with the local moment (μB).
Element x y z (fractional)
Pu  0.3751  0.3751  0.8748  5.44
Pu  0.9994  0.9994  0.0019  5.32
Pu  0.5012  0.5012  0.4965  5.30
Ga  0.8733  0.8733  0.3802  -0.02
Cu  0.9370  0.4350  0.1930  0.04
Cu  0.4431  0.9378  0.6813  0.07
Cu  0.4350  0.4350  0.1930  0.04
Cu  0.9378  0.9378  0.6813  0.07
Cu  0.1882  0.1882  0.4355  0.02
Cu  0.6872  0.6872  0.9384  0.07
Cu  0.4350  0.9370  0.1930  0.04
Cu  0.9378  0.4431  0.6813  0.07

SG: R3m (160)
DFT total energy, eV/atom: -6.6037
Crystal system: trigonal
Mass density, Mg/m³: 11.257
Magnetization, μB/f.u.: 17.3


# 4
The following is a DFT calculation (PBE) of crystalline Ca4Sb2H at its relaxed geometry.

Lattice parameters (Å, degrees): 6.9125 9.0314 11.9663 90.00 90.00 90.00
Element x y z (fractional)
Ca  0.4964  0.6842  0.8416
Ca  0.5036  0.3158  0.1584
Ca  0.5036  0.8158  0.3416
Ca  0.9964  0.3158  0.1584
Ca  0.4964  0.1842  0.6584
Ca  0.0036  0.6842  0.8416
Ca  0.0036  0.1842  0.6584
Ca  0.9964  0.8158  0.3416
Ca  0.7500  0.0345  0.9068
Ca  0.2500  0.9655  0.0932
Ca  0.2500  0.4655  0.4068
Ca  0.7500  0.5345  0.5932
Ca  0.7500  0.1685  0.4076
Ca  0.2500  0.8315  0.5924
Ca  0.2500  0.3315  0.9076
Ca  0.7500  0.6685  0.0924
Sb  0.7500  0.5077  0.3325
Sb  0.2500  0.4923  0.6675
Sb  0.2500  0.9923  0.8325
Sb  0.7500  0.0077  0.1675
Sb  0.7500  0.8847  0.5983
Sb  0.2500  0.1153  0.4017
Sb  0.2500  0.6153  0.0983
Sb  0.7500  0.3847  0.9017
H  0.7500  0.7870  0.9256
H  0.2500  0.2130  0.0744
H  0.2500  0.7130  0.4256
H  0.7500  0.2870  0.5744

SG: Pnma (62)
DFT total energy, eV/atom: -3.6253
Crystal system: orthorhombic
Mass density, Mg/m³: 3.600
Magnetization, μB/f.u.: 0.0